(1)
InCu2P (PBE, relaxed); ρ = 7.170 g/cm3; E = -3.875 eV/atom; calculated volume = 15.80 A^3/atom; energy relative to the elements = 0.84 eV per formula unit
1.0
2.816 0.000 0.000
0.000 3.502 0.000
0.000 0.000 6.408
Cu In P
2 1 1
Direct
0.000 0.000 0.950 Cu
0.000 0.000 0.550 Cu
0.500 0.500 0.250 In
0.500 0.500 0.750 P

(2)
In2CuP (PBE, relaxed); ρ = 6.566 g/cm3; E = -3.687 eV/atom; calculated volume = 20.49 A^3/atom; energy relative to the elements = 0.23 eV per formula unit
1.0
-2.221 -0.207 3.261
2.713 -2.678 1.678
3.952 2.411 2.844
Cu In P
1 2 1
Direct
0.500 0.568 0.760 Cu
0.000 0.972 0.923 In
0.500 0.280 0.313 In
0.000 0.680 0.505 P

(3)
InCu2P2 (PBE, relaxed); ρ = 6.328 g/cm3; E = -4.082 eV/atom; calculated volume = 15.95 A^3/atom; energy relative to the elements = 1.34 eV per formula unit
1.0
-0.893 -1.308 -7.440
2.792 -7.019 0.899
-2.543 -0.951 0.472
P Cu In
4 4 2
Direct
0.149 0.649 0.500 P
0.649 0.851 0.500 P
0.851 0.351 0.500 P
0.351 0.149 0.500 P
0.366 0.866 0.000 Cu
0.866 0.634 0.000 Cu
0.634 0.134 0.000 Cu
0.134 0.366 0.000 Cu
0.000 0.000 0.000 In
0.500 0.500 0.000 In

(4)
InCu2P (PBE, relaxed); ρ = 7.178 g/cm3; E = -3.832 eV/atom; calculated volume = 15.78 A^3/atom; energy relative to the elements = 1.01 eV per formula unit
1.0
-4.712 -1.092 -0.195
-1.040 -1.321 -4.540
3.282 -1.473 3.239
Cu In P
2 1 1
Direct
0.012 0.012 0.000 Cu
0.488 0.488 0.000 Cu
0.750 0.250 0.500 In
0.250 0.750 0.500 P